Compound: TaCdTe2
Source: Alexandria via LeMat-Bulk
Functional: PBE
Structure: relaxed

Unit cell a=7.869 b=7.869 c=7.869 alpha=129.57 beta=129.57 gamma=74.09
Positions (direct):
Ta (0.000, 0.000, 0.000)
Ta (0.750, 0.250, 0.500)
Cd (0.250, 0.750, 0.500)
Cd (0.500, 0.500, 0.000)
Te (0.089, 0.625, 0.964)
Te (0.375, 0.339, 0.464)
Te (0.661, 0.125, 0.036)
Te (0.875, 0.911, 0.536)

## Properties
uncorrected formation energy	1.23	eV per formula unit
density	6.45	g/cm³
SG	I-42d, No. 122